Density functional theory data (PBE+U) for Co2CuF6 after structural relaxation.

a = 4.703 Å, b = 4.703 Å, c = 9.691 Å
α = 90.00°, β = 90.00°, γ = 90.00°
Site moments in Bohr magnetons follow the coordinates.
Positions (direct):
F: 0.698 0.698 0.831  0.09
F: 0.698 0.698 0.169  0.09
Cu: 0.000 0.000 0.500  0.70
Co: 0.500 0.500 0.333  2.83
F: 0.698 0.698 0.500  0.10
Cu: 0.500 0.500 0.000  0.70
Co: 0.500 0.500 0.667  2.83
F: 0.302 0.302 0.500  0.10
F: 0.802 0.198 0.000  0.10
F: 0.198 0.802 0.331  0.09
F: 0.802 0.198 0.331  0.09
F: 0.198 0.802 0.669  0.09
F: 0.198 0.802 0.000  0.10
F: 0.802 0.198 0.669  0.09
Co: 0.000 0.000 0.833  2.83
F: 0.302 0.302 0.831  0.09
Co: 0.000 0.000 0.167  2.83
F: 0.302 0.302 0.169  0.09

Summary:
The calculation puts the total magnetization at 0.778 μB per atom. The energy comes out at -4.743 eV per atom. The value obtained for the mass density is 4576 kg/m³.